No. 1
An optimized crystal structure of CePrHoSe3, computed with PBE.

a = 4.100 Å, b = 8.096 Å, c = 10.450 Å
α = 103.04°, β = 90.00°, γ = 90.00°
Site moments in Bohr magnetons follow the coordinates.
Element x y z (fractional)
Ce (0.250, 0.176, 0.617)  1.14
Ce (0.750, 0.824, 0.383)  1.14
Pr (0.750, 0.817, 0.796)  0.01
Pr (0.250, 0.183, 0.204)  0.01
Ho (0.250, 0.664, 0.097)  0.25
Ho (0.750, 0.336, 0.903)  0.25
Se (0.250, 0.792, 0.575)  -0.01
Se (0.750, 0.905, 0.107)  0.00
Se (0.750, 0.468, 0.183)  0.00
Se (0.750, 0.208, 0.425)  -0.01
Se (0.250, 0.532, 0.817)  0.00
Se (0.250, 0.095, 0.893)  0.00

Output
N(E_F): 15.22 states/eV per cell
Formation energy without anion corrections: -1.592 eV/atom
VASP energy: -5.883 eV per atom

No. 2
An optimized crystal structure of Ce2Pr3HoSe6, computed with PBE.

a = 7.280 Å, b = 7.280 Å, c = 7.318 Å
α = 99.57°, β = 99.57°, γ = 120.07°
Site moments in Bohr magnetons follow the coordinates.
Element x y z (fractional)
Ce (0.334, 0.666, 0.000)  0.77
Ce (0.666, 0.334, 0.000)  0.77
Pr (0.168, 0.832, 0.500)  0.00
Pr (0.832, 0.168, 0.500)  0.00
Pr (0.500, 0.500, 0.500)  0.00
Ho (0.000, 0.000, 0.000)  0.03
Se (0.921, 0.594, 0.761)  -0.01
Se (0.755, 0.755, 0.242)  -0.01
Se (0.079, 0.406, 0.239)  -0.01
Se (0.594, 0.921, 0.761)  -0.01
Se (0.245, 0.245, 0.758)  -0.01
Se (0.406, 0.079, 0.239)  -0.01

Output
N(E_F): 14.84 states/eV per cell
Formation energy without anion corrections: -1.821 eV/atom
VASP energy: -6.129 eV per atom

No. 3
An optimized crystal structure of CePr4Ho3Se8, computed with PBE.

a = 8.302 Å, b = 8.420 Å, c = 8.302 Å
α = 119.54°, β = 120.00°, γ = 90.00°
Site moments in Bohr magnetons follow the coordinates.
Element x y z (fractional)
Ce (0.000, 0.500, 0.000)  0.59
Pr (0.500, 0.000, 0.000)  -0.01
Pr (0.500, 0.000, 0.500)  0.00
Pr (0.000, 0.000, 0.000)  0.00
Pr (0.000, 0.000, 0.500)  0.00
Ho (0.500, 0.500, 0.000)  0.01
Ho (0.500, 0.500, 0.500)  0.01
Ho (0.000, 0.500, 0.500)  0.01
Se (0.248, 0.735, 0.987)  0.00
Se (0.248, 0.735, 0.495)  0.00
Se (0.256, 0.269, 0.513)  0.00
Se (0.739, 0.735, 0.987)  0.00
Se (0.261, 0.265, 0.013)  0.00
Se (0.744, 0.731, 0.487)  0.00
Se (0.752, 0.265, 0.505)  0.00
Se (0.752, 0.265, 0.013)  0.00

Output
N(E_F): 12.20 states/eV per cell
Formation energy without anion corrections: -1.800 eV/atom
VASP energy: -5.967 eV per atom

No. 4
An optimized crystal structure of Ce4Pr3HoSe8, computed with PBE.

a = 8.415 Å, b = 8.429 Å, c = 8.415 Å
α = 119.94°, β = 120.00°, γ = 90.00°
Site moments in Bohr magnetons follow the coordinates.
Element x y z (fractional)
Ce (0.500, 0.000, 0.000)  0.91
Ce (0.500, 0.000, 0.500)  0.78
Ce (0.000, 0.000, 0.000)  0.78
Ce (0.000, 0.000, 0.500)  0.78
Pr (0.500, 0.500, 0.000)  0.00
Pr (0.500, 0.500, 0.500)  0.00
Pr (0.000, 0.500, 0.500)  0.00
Ho (0.000, 0.500, 0.000)  0.01
Se (0.245, 0.748, 0.003)  -0.01
Se (0.245, 0.748, 0.490)  -0.01
Se (0.248, 0.245, 0.497)  -0.01
Se (0.758, 0.748, 0.003)  -0.01
Se (0.242, 0.252, 0.997)  -0.01
Se (0.752, 0.755, 0.503)  -0.01
Se (0.755, 0.252, 0.510)  -0.01
Se (0.755, 0.252, 0.997)  -0.01

Output
N(E_F): 26.51 states/eV per cell
Formation energy without anion corrections: -1.819 eV/atom
VASP energy: -6.227 eV per atom

No. 5
An optimized crystal structure of CePr2HoSe4, computed with PBE.

a = 4.159 Å, b = 7.288 Å, c = 7.299 Å
α = 108.95°, β = 90.00°, γ = 90.00°
Site moments in Bohr magnetons follow the coordinates.
Element x y z (fractional)
Ce (0.500, 0.500, 0.000)  0.74
Pr (0.500, 0.000, 0.500)  0.00
Pr (0.000, 0.500, 0.500)  0.02
Ho (0.000, 0.000, 0.000)  0.02
Se (0.500, 0.239, 0.235)  0.00
Se (0.500, 0.761, 0.765)  0.00
Se (0.000, 0.247, 0.760)  -0.01
Se (0.000, 0.753, 0.240)  -0.01

Output
N(E_F): 8.64 states/eV per cell
Formation energy without anion corrections: -1.812 eV/atom
VASP energy: -6.063 eV per atom

No. 6
An optimized crystal structure of Ce3Pr4HoSe8, computed with PBE.

a = 8.429 Å, b = 8.438 Å, c = 8.428 Å
α = 119.96°, β = 120.00°, γ = 90.00°
Site moments in Bohr magnetons follow the coordinates.
Element x y z (fractional)
Ce (0.500, 0.500, 0.000)  0.76
Ce (0.500, 0.500, 0.500)  0.76
Ce (0.000, 0.500, 0.500)  0.76
Pr (0.500, 0.000, 0.000)  0.03
Pr (0.500, 0.000, 0.500)  0.00
Pr (0.000, 0.000, 0.000)  0.00
Pr (0.000, 0.000, 0.500)  0.00
Ho (0.000, 0.500, 0.000)  0.03
Se (0.244, 0.740, 0.996)  -0.01
Se (0.244, 0.740, 0.487)  -0.01
Se (0.252, 0.255, 0.503)  -0.01
Se (0.753, 0.740, 0.996)  -0.01
Se (0.247, 0.260, 0.004)  -0.01
Se (0.748, 0.745, 0.497)  -0.01
Se (0.756, 0.260, 0.513)  -0.01
Se (0.756, 0.260, 0.004)  -0.01

Output
N(E_F): 22.02 states/eV per cell
Formation energy without anion corrections: -1.825 eV/atom
VASP energy: -6.160 eV per atom

No. 7
An optimized crystal structure of Ce3PrHo2Se6, computed with PBE.

a = 7.195 Å, b = 7.195 Å, c = 7.254 Å
α = 99.52°, β = 99.52°, γ = 120.03°
Site moments in Bohr magnetons follow the coordinates.
Element x y z (fractional)
Ce (0.161, 0.839, 0.500)  0.84
Ce (0.839, 0.161, 0.500)  0.84
Ce (0.500, 0.500, 0.500)  0.84
Pr (0.000, 0.000, 0.000)  -0.01
Ho (0.333, 0.667, 0.000)  0.00
Ho (0.667, 0.333, 0.000)  0.00
Se (0.919, 0.574, 0.756)  -0.01
Se (0.735, 0.735, 0.238)  -0.01
Se (0.081, 0.426, 0.244)  -0.01
Se (0.574, 0.919, 0.756)  -0.01
Se (0.265, 0.265, 0.762)  -0.01
Se (0.426, 0.081, 0.244)  -0.01

Output
N(E_F): 19.44 states/eV per cell
Formation energy without anion corrections: -1.799 eV/atom
VASP energy: -6.186 eV per atom

No. 8
An optimized crystal structure of Ce3Pr2HoSe6, computed with PBE.

a = 7.272 Å, b = 7.272 Å, c = 7.287 Å
α = 99.59°, β = 99.59°, γ = 120.01°
Site moments in Bohr magnetons follow the coordinates.
Element x y z (fractional)
Ce (0.171, 0.829, 0.500)  0.84
Ce (0.829, 0.171, 0.500)  0.84
Ce (0.500, 0.500, 0.500)  0.84
Pr (0.334, 0.666, 0.000)  -0.01
Pr (0.666, 0.334, 0.000)  -0.01
Ho (0.000, 0.000, 0.000)  0.00
Se (0.918, 0.595, 0.753)  -0.01
Se (0.762, 0.762, 0.252)  -0.01
Se (0.082, 0.405, 0.247)  -0.01
Se (0.595, 0.918, 0.753)  -0.01
Se (0.238, 0.238, 0.748)  -0.01
Se (0.405, 0.082, 0.247)  -0.01

Output
N(E_F): 19.78 states/eV per cell
Formation energy without anion corrections: -1.817 eV/atom
VASP energy: -6.220 eV per atom

No. 9
An optimized crystal structure of Ce4PrHo3Se8, computed with PBE.

a = 8.286 Å, b = 8.347 Å, c = 8.286 Å
α = 119.76°, β = 120.00°, γ = 90.00°
Site moments in Bohr magnetons follow the coordinates.
Element x y z (fractional)
Ce (0.500, 0.000, 0.000)  0.71
Ce (0.500, 0.000, 0.500)  0.86
Ce (0.000, 0.000, 0.000)  0.86
Ce (0.000, 0.000, 0.500)  0.86
Pr (0.000, 0.500, 0.000)  -0.01
Ho (0.500, 0.500, 0.000)  0.00
Ho (0.500, 0.500, 0.500)  0.00
Ho (0.000, 0.500, 0.500)  0.00
Se (0.252, 0.742, 0.990)  -0.01
Se (0.252, 0.742, 0.503)  -0.01
Se (0.255, 0.264, 0.509)  -0.01
Se (0.739, 0.742, 0.990)  -0.01
Se (0.261, 0.258, 0.010)  -0.01
Se (0.745, 0.736, 0.491)  -0.01
Se (0.748, 0.258, 0.497)  -0.01
Se (0.748, 0.258, 0.010)  -0.01

Output
N(E_F): 25.66 states/eV per cell
Formation energy without anion corrections: -1.792 eV/atom
VASP energy: -6.175 eV per atom

No. 10
An optimized crystal structure of CePrSmHo, computed with PBE.

a = 5.748 Å, b = 5.748 Å, c = 5.748 Å
α = 60.00°, β = 60.00°, γ = 60.00°
Site moments in Bohr magnetons follow the coordinates.
Element x y z (fractional)
Pr (0.750, 0.750, 0.750)  0.31
Ce (0.500, 0.500, 0.500)  1.13
Ho (0.000, 0.000, 0.000)  0.40
Sm (0.250, 0.250, 0.250)  0.30

Output
N(E_F): 10.18 states/eV per cell
Formation energy: 77 kJ/mol of formula units
VASP energy: -4.803 eV per atom

No. 11
An optimized crystal structure of Ce2PrSm3Ho6, computed with PBE.

a = 6.182 Å, b = 6.182 Å, c = 11.741 Å
α = 95.03°, β = 95.03°, γ = 120.00°
Site moments in Bohr magnetons follow the coordinates.
Element x y z (fractional)
Ce (0.333, 0.667, 0.000)  0.73
Ce (0.667, 0.333, 0.000)  0.73
Pr (0.000, 0.000, 0.000)  0.00
Sm (0.166, 0.834, 0.500)  -0.01
Sm (0.834, 0.166, 0.500)  -0.01
Sm (0.500, 0.500, 0.500)  -0.01
Ho (0.917, 0.581, 0.752)  0.02
Ho (0.747, 0.747, 0.248)  0.01
Ho (0.083, 0.419, 0.248)  0.02
Ho (0.581, 0.917, 0.752)  0.02
Ho (0.253, 0.253, 0.752)  0.01
Ho (0.419, 0.083, 0.248)  0.02

Output
N(E_F): 20.74 states/eV per cell
Formation energy: 55 kJ/mol of formula units
VASP energy: -4.809 eV per atom